Compound: LiMg6Fe
Source: Alexandria via LeMat-Bulk
Functional: GGA-PBE
Structure: relaxed

The calculation puts the formation enthalpy at 0 K at 0.137 eV/atom. The density is 2.16 g/cm³.

It has space group Amm2 (No. 38), with a = 4.850 Å, b = 6.398 Å, c = 10.359 Å, α = 90.00°, β = 90.00° and γ = 90.00°. The asymmetric unit holds Li at (0.000, 0.000, 0.000), Mg at (0.000, 0.249, 0.751), Mg at (0.500, 0.000, 0.178), Mg at (0.500, 0.000, 0.674), Mg at (0.500, 0.241, 0.435) and Fe at (0.000, 0.000, 0.500).


Compound: Ce2Y6Er3Th
Source: Alexandria via LeMat-Bulk
Functional: GGA-PBE
Structure: relaxed

The calculation puts the formation enthalpy at 0 K at 0.020 eV/atom. The density is 6.84 g/cm³.

It has space group C2/m (No. 12), with a = 6.177 Å, b = 10.687 Å, c = 11.376 Å, α = 90.00°, β = 90.02° and γ = 90.00°. The asymmetric unit holds Ce at (0.000, 0.167, 0.000), Y at (0.167, 0.334, 0.247), Y at (0.169, 0.000, 0.247), Er at (0.000, 0.167, 0.500), Er at (0.000, 0.500, 0.500) and Th at (0.000, 0.500, 0.000).


Compound: CsRbUCl6
Source: Alexandria via LeMat-Bulk
Functional: GGA-PBE
Structure: relaxed

The calculated total energy is -4.587 eV per atom. The density is 3.05 g/cm³.

It has space group P-31c (No. 163), with a = 8.2777 Å, b = 8.2777 Å, c = 12.2926 Å, α = 90.00°, β = 90.00° and γ = 120.00°. The asymmetric unit holds Cs at (0.3333, 0.6667, 0.2500), Rb at (0.0000, 0.0000, 0.0000), U at (0.3333, 0.6667, 0.7500) and Cl at (0.0778, 0.4007, 0.6268).


Compound: TlTc2PtBr
Source: Alexandria via LeMat-Bulk
Functional: GGA-PBE
Structure: relaxed

The calculated total energy is -4.468 eV per atom. The density is 9.59 g/cm³.

It has space group P4/mmm (No. 123), with a = 4.568 Å, b = 4.568 Å, c = 5.604 Å, α = 90.00°, β = 90.00° and γ = 90.00°. The asymmetric unit holds Tl at (0.000, 0.000, 0.000), Tc at (0.000, 0.500, 0.500), Pt at (0.500, 0.500, 0.000) and Br at (0.000, 0.000, 0.500).


Compound: PrErMgAg
Source: Alexandria via LeMat-Bulk
Functional: GGA-PBE
Structure: relaxed

The calculation puts the formation enthalpy at 0 K at -0.180 eV/atom. The density is 6.89 g/cm³.

It has space group P4mm (No. 99), with a = 3.771 Å, b = 3.771 Å, c = 7.457 Å, α = 90.00°, β = 90.00° and γ = 90.00°. The asymmetric unit holds Pr at (0.000, 0.000, 0.000), Er at (0.000, 0.000, 0.483), Mg at (0.500, 0.500, 0.729) and Ag at (0.500, 0.500, 0.272).